Material: SrNiCO4
Method: DFT, PBE+U
State: optimized geometry

Properties
total energy = -6.10 eV per atom

abc: 7.005 7.005 7.005
angles: 138.81 105.84 88.54
Fractional positions:
Sr 0.000 0.000 0.000
Sr 0.500 0.000 0.500
Ni 0.500 0.000 0.000
Ni 0.500 0.500 0.500
C 0.236 0.486 0.750
C 0.764 0.514 0.250
O 0.027 0.409 0.618
O 0.291 0.409 0.882
O 0.321 0.333 0.512
O 0.321 0.809 0.988
O 0.679 0.191 0.012
O 0.679 0.667 0.488
O 0.709 0.591 0.118
O 0.973 0.591 0.382